Record 1
VASP calculation (GGA-PBE) on CsW after structural relaxation.

a b c (Å): 3.1048 3.1048 6.4582
angles (deg): 90.00 90.00 120.00
Sites, in units of the cell vectors:
Cs 0.0000 0.0000 0.0000
W 0.6667 0.3333 0.5000

Properties
The value obtained for the total energy is -4.52 eV per atom. The value obtained for the magnetization is 0.54 μB per formula unit. Its crystal system is hexagonal.



Record 2
VASP calculation (GGA-PBE) on ZrNbNi2 after structural relaxation.

a b c (Å): 4.3996 4.3996 4.3996
angles (deg): 60.00 60.00 60.00
Sites, in units of the cell vectors:
Zr 0.0000 0.0000 0.0000
Nb 0.7500 0.7500 0.7500
Ni 0.2500 0.2500 0.2500
Ni 0.5000 0.5000 0.5000

Properties
The value obtained for the total energy is -7.43 eV per atom. The value obtained for the magnetization is 0.01 μB per formula unit. Its crystal system is cubic. As for the formation energy: 18 meV per atom.



Record 3
VASP calculation (GGA-PBE) on HfInGa after structural relaxation.

a b c (Å): 4.7055 4.7055 4.7055
angles (deg): 60.00 60.00 60.00
Sites, in units of the cell vectors:
Hf 0.0000 0.0000 0.0000
In 0.2500 0.2500 0.2500
Ga 0.7500 0.7500 0.7500

Properties
The value obtained for the total energy is -5.02 eV per atom. The value obtained for the magnetization is 0.00 μB per formula unit. Its crystal system is cubic.